The following is a DFT calculation (PBE with a Hubbard U) of TiCuWO6 after structural relaxation.

Cell lengths 5.1013, 5.1013, 8.9612 Å; angles 90.00, 90.00, 120.00 degrees
With the nearest neighbours (Å) after each atom.
Fractional positions:
Ti 0.3333 0.6667 0.2500  6 O 1.97
Ti 0.6667 0.3333 0.7500  6 O 1.97
Cu 0.0000 0.0000 0.0000  6 O 2.15
Cu 0.0000 0.0000 0.5000  6 O 2.15
W 0.3333 0.6667 0.7500  6 O 1.95
W 0.6667 0.3333 0.2500  6 O 1.95
O 0.0034 0.3525 0.6327  1 W 1.95, 1 Ti 1.97, 1 Cu 2.15
O 0.0034 0.6509 0.8673  1 W 1.95, 1 Ti 1.97, 1 Cu 2.15
O 0.3491 0.3525 0.8673  1 W 1.95, 1 Ti 1.97, 1 Cu 2.15
O 0.3491 0.9966 0.6327  1 W 1.95, 1 Ti 1.97, 1 Cu 2.15
O 0.3525 0.0034 0.1327  1 W 1.95, 1 Ti 1.97, 1 Cu 2.15
O 0.3525 0.3491 0.3673  1 W 1.95, 1 Ti 1.97, 1 Cu 2.15
O 0.6475 0.6509 0.6327  1 W 1.95, 1 Ti 1.97, 1 Cu 2.15
O 0.6475 0.9966 0.8673  1 W 1.95, 1 Ti 1.97, 1 Cu 2.15
O 0.6509 0.0034 0.3673  1 W 1.95, 1 Ti 1.97, 1 Cu 2.15
O 0.6509 0.6475 0.1327  1 W 1.95, 1 Ti 1.97, 1 Cu 2.15
O 0.9966 0.3491 0.1327  1 W 1.95, 1 Ti 1.97, 1 Cu 2.15
O 0.9966 0.6475 0.3673  1 W 1.95, 1 Ti 1.97, 1 Cu 2.15

Output
- Mass density: 6434 kg/m3
- Total magnetization: 1.01 μB per formula unit
- Crystal system: trigonal
- E: -7.335 eV per atom